Below is a relaxed In3BRu crystal, with properties calculated at the PBE-GGA level.

## Properties
Space-group type ... Pm-3m (221)
E_form ... 994 meV/atom
Energy relative to the lowest polymorph listed for this composition ... 0 meV per atom
Volume ... 19.44 Å³ per atom
DOS at the Fermi energy ... 0.6637 states/eV/atom

```
In3BRu
1.0
-2.2053 1.8809 3.5693
2.1083 -2.9309 2.8471
3.4399 3.0022 0.5433
Ru In B
1 3 1
direct
0.5000 0.5000 0.5000 Ru
0.0000 0.0000 0.5000 In
0.5000 0.0000 0.0000 In
0.0000 0.5000 0.0000 In
0.0000 0.0000 0.0000 B
```


Below is a relaxed Pr4PuSe5 crystal, with properties calculated at the PBE-GGA level.

## Properties
Space-group type ... R-3m (166)
Volume ... 26.97 Å³ per atom
Energy ... -68.786 eV/cell
DOS at the Fermi energy ... 0.9791 states/eV/atom

```
Pr4PuSe5
1.0
4.2474 0.0000 0.0000
2.1237 3.6784 0.0000
2.1237 1.2261 17.2615
Pr Se Pu
4 5 1
direct
0.2999 0.2999 0.1003 Pr
0.7001 0.7001 0.8997 Pr
0.1015 0.1015 0.6956 Pr
0.8985 0.8985 0.3044 Pr
0.8021 0.8021 0.5936 Se
0.1979 0.1979 0.4064 Se
0.4009 0.4009 0.7974 Se
0.5991 0.5991 0.2026 Se
0.0000 0.0000 0.0000 Se
0.5000 0.5000 0.5000 Pu
```


Below is a relaxed LiMoIrRu crystal, with properties calculated at the PBE-GGA level.

## Properties
Space-group type ... F-43m (216)
E_form ... -147 meV/atom
Volume ... 13.90 Å³ per atom
DOS at the Fermi energy ... 0.4418 states/eV/atom

```
LiMoIrRu
1.0
-4.2379 -0.6165 -0.1314
-1.6958 -3.5793 1.6341
-2.3031 0.1743 3.6087
Li Ru Ir Mo
1 1 1 1
direct
0.0000 0.0000 0.0000 Li
0.7500 0.7500 0.7500 Ru
0.2500 0.2500 0.2500 Ir
0.5000 0.5000 0.5000 Mo
```


Below is a relaxed CaSbPt2 crystal, with properties calculated at the PBE-GGA level.

## Properties
Space-group type ... Cmmm (65)
Volume ... 19.74 Å³ per atom
Energy ... -20.699 eV/cell
DOS at the Fermi energy ... 0.3449 states/eV/atom

```
CaSbPt2
1.0
-2.7901 -3.5566 0.7984
3.5206 -2.5479 -1.4781
1.3077 -0.2355 3.5208
Ca Pt Sb
1 2 1
direct
0.0000 0.5000 0.5000 Ca
0.0000 0.0000 0.0000 Pt
0.5000 0.5000 0.0000 Pt
0.5000 0.0000 0.5000 Sb
```


Below is a relaxed AcDy2YEr crystal, with properties calculated at the PBE-GGA level.

## Properties
Space-group type ... Cmcm (63)
E_form ... 397 meV/atom
Volume ... 36.31 Å³ per atom
DOS at the Fermi energy ... 1.7239 states/eV/atom

```
AcDy2YEr
1.0
6.4207 0.0000 0.0000
0.0000 6.4295 0.0000
0.0000 -3.2148 8.7951
Dy Y Er Ac
4 2 2 2
direct
0.0000 0.2480 0.0000 Dy
0.0000 0.7520 0.0000 Dy
0.5000 0.7520 0.0000 Dy
0.5000 0.2480 0.0000 Dy
0.7500 0.1523 0.3046 Y
0.2500 0.8477 0.6954 Y
0.7500 0.7493 0.4985 Er
0.2500 0.2507 0.5015 Er
0.7500 0.3415 0.6829 Ac
0.2500 0.6585 0.3171 Ac
```


Below is a relaxed AlOsRu2 crystal, with properties calculated at the PBE-GGA level.

## Properties
Space-group type ... F-43m (216)
E_form ... 37 meV/atom
Volume ... 14.19 Å³ per atom
DOS at the Fermi energy ... 0.7775 states/eV/atom

```
AlOsRu2
1.0
4.3139 0.0000 0.0000
2.1569 3.7359 0.0000
2.1569 1.2453 3.5223
Os Ru Al
1 2 1
direct
0.2500 0.2500 0.2500 Os
0.0000 0.0000 0.0000 Ru
0.7500 0.7500 0.7500 Ru
0.5000 0.5000 0.5000 Al
```


Below is a relaxed CaNdAlCd crystal, with properties calculated at the PBE-GGA level.

## Properties
Space-group type ... P4mm (99)
E_form ... -316 meV/atom
Energy relative to the lowest polymorph listed for this composition ... 12 meV per atom
Volume ... 27.10 Å³ per atom
DOS at the Fermi energy ... 0.4622 states/eV/atom

```
CaNdAlCd
1.0
3.6986 0.0000 0.0000
0.0000 3.6986 0.0000
0.0000 0.0000 7.9251
Nd Cd Ca Al
1 1 1 1
direct
0.5000 0.5000 0.1203 Nd
0.0000 0.0000 0.8506 Cd
0.5000 0.5000 0.5986 Ca
0.0000 0.0000 0.3585 Al
```


Below is a relaxed PmZr2Pa crystal, with properties calculated at the PBE-GGA level.

## Properties
Space-group type ... P4/mmm (123)
E_form ... 139 meV/atom
Energy relative to the lowest polymorph listed for this composition ... 0 meV per atom
Volume ... 26.77 Å³ per atom
DOS at the Fermi energy ... 1.7412 states/eV/atom

```
PmZr2Pa
1.0
3.8637 0.0000 0.0000
0.0000 3.8637 0.0000
0.0000 0.0000 7.1725
Zr Pa Pm
2 1 1
direct
0.0000 0.0000 0.2061 Zr
0.0000 0.0000 0.7939 Zr
0.5000 0.5000 0.0000 Pa
0.5000 0.5000 0.5000 Pm
```


Below is a relaxed Pa2HgPd crystal, with properties calculated at the PBE-GGA level.

## Properties
Space-group type ... P4/mmm (123)
E_form ... -135 meV/atom
Energy relative to the lowest polymorph listed for this composition ... 43 meV per atom
Volume ... 22.16 Å³ per atom
DOS at the Fermi energy ... 1.6770 states/eV/atom

```
Pa2HgPd
1.0
4.5266 0.0000 0.0000
0.0000 4.4254 0.0000
0.0000 0.0000 4.4254
Pa Pd Hg
2 1 1
direct
0.0000 0.5000 0.0000 Pa
0.0000 0.0000 0.5000 Pa
0.5000 0.0000 0.0000 Pd
0.5000 0.5000 0.5000 Hg
```


Below is a relaxed TeRhOF2 crystal, with properties calculated at the PBE-GGA level.

## Properties
Space-group type ... P4/mmm (123)
Energy relative to the lowest polymorph listed for this composition ... 0 meV per atom
Volume ... 15.71 Å³ per atom
DOS at the Fermi energy ... 0.7998 states/eV/atom

```
TeRhOF2
1.0
4.6172 0.0000 0.0000
0.0000 4.6172 0.0000
0.0000 0.0000 3.6837
F Rh O Te
2 1 1 1
direct
0.0000 0.5000 0.0000 F
0.5000 0.0000 0.0000 F
0.0000 0.0000 0.0000 Rh
0.0000 0.0000 0.5000 O
0.5000 0.5000 0.5000 Te
```